Material: SrNiPO2
Method: DFT, GGA+U
State: relaxed

## Properties
VASP energy	-0.2530	Ry per atom
SG	P4/mmm

a b c (Å): 4.3883 4.3883 6.5258
angles (deg): 90.00 90.00 90.00
Atoms (fractional coordinates):
Sr  0.0000  0.0000  0.0000
Ni  0.5000  0.5000  0.5000
P  0.0000  0.0000  0.5000
O  0.0000  0.5000  0.0000
O  0.5000  0.0000  0.0000